VASP calculation (GGA+U) on a relaxed structure of V3CO.

a b c (Å): 4.1559 4.1559 4.1559
angles (deg): 90.00 90.00 90.00
Space group Pm-3m (No. 221)
Asymmetric unit:
1 V 0.0000 0.0000 0.5000
2 C 0.0000 0.0000 0.0000
3 O 0.5000 0.5000 0.5000

## Properties
The calculation puts the total magnetization at 8.76 μB per formula unit. The energy relative to the lowest polymorph listed for this composition is 0.00 kcal/mol of atoms.